[1]
# PBE Zn2TcHPd, relaxed
data_Zn2TcHPd
_space_group_name_H-M_alt 'P 4/m m m'
_space_group_IT_number 123
_space_group_name_Hall '-P 4 2'
_cell_length_a 4.213
_cell_length_b 4.213
_cell_length_c 3.433
_cell_angle_alpha 90.00
_cell_angle_beta 90.00
_cell_angle_gamma 90.00
loop_
_atom_site_label
_atom_site_fract_x
_atom_site_fract_y
_atom_site_fract_z
_atom_site_occupancy
Zn1 0.000 0.500 0.000 1
Tc1 0.000 0.000 0.500 1
H1 0.000 0.000 0.000 1
Pd1 0.500 0.500 0.500 1
# Raw total energy = -21.48 eV/cell
# M_tot = 0.0002 μB per atom
# Crystal system = tetragonal

---

[2]
# PBE ZnTcH2Pd, relaxed
data_ZnTcH2Pd
_space_group_name_H-M_alt 'P 4/m m m'
_space_group_IT_number 123
_space_group_name_Hall '-P 4 2'
_cell_length_a 3.530
_cell_length_b 3.530
_cell_length_c 5.261
_cell_angle_alpha 90.00
_cell_angle_beta 90.00
_cell_angle_gamma 90.00
loop_
_atom_site_label
_atom_site_fract_x
_atom_site_fract_y
_atom_site_fract_z
_atom_site_occupancy
Zn1 0.000 0.000 0.000 1
Tc1 0.500 0.500 0.500 1
H1 0.000 0.500 0.500 1
Pd1 0.500 0.500 0.000 1
# Raw total energy = -21.21 eV/cell
# M_tot = 0.4487 μB per atom
# Crystal system = tetragonal

---

[3]
# PBE ZrTcHPd2, relaxed
data_ZrTcHPd2
_space_group_name_H-M_alt 'P 4/m m m'
_space_group_IT_number 123
_space_group_name_Hall '-P 4 2'
_cell_length_a 4.011
_cell_length_b 4.011
_cell_length_c 4.198
_cell_angle_alpha 90.00
_cell_angle_beta 90.00
_cell_angle_gamma 90.00
loop_
_atom_site_label
_atom_site_fract_x
_atom_site_fract_y
_atom_site_fract_z
_atom_site_occupancy
Zr1 0.000 0.000 0.000 1
Tc1 0.500 0.500 0.000 1
H1 0.500 0.500 0.500 1
Pd1 0.000 0.500 0.500 1
# Raw total energy = -34.23 eV/cell
# M_tot = 0.0003 μB per atom
# Crystal system = tetragonal

---

[4]
# PBE TeH2Pd4, relaxed
data_TeH2Pd4
_space_group_name_H-M_alt 'I 4/m m m'
_space_group_IT_number 139
_space_group_name_Hall '-I 4 2'
_cell_length_a 5.016
_cell_length_b 5.016
_cell_length_c 9.339
_cell_angle_alpha 90.00
_cell_angle_beta 90.00
_cell_angle_gamma 90.00
loop_
_atom_site_label
_atom_site_fract_x
_atom_site_fract_y
_atom_site_fract_z
_atom_site_occupancy
Te1 0.000 0.000 0.000 1
H1 0.000 0.000 0.450 1
Pd1 0.000 0.000 0.278 1
Pd2 0.000 0.500 0.000 1
# M_tot = 0.0000 μB per atom
# E above lowest polymorph = 488 meV per atom
# Crystal system = tetragonal

---

[5]
# PBE Te3H5Pd12, relaxed
data_Te3H5Pd12
_space_group_name_H-M_alt 'I a -3 d'
_space_group_IT_number 230
_space_group_name_Hall '-I 4bd 2c 3'
_cell_length_a 13.094
_cell_length_b 13.094
_cell_length_c 13.094
_cell_angle_alpha 90.00
_cell_angle_beta 90.00
_cell_angle_gamma 90.00
loop_
_atom_site_label
_atom_site_fract_x
_atom_site_fract_y
_atom_site_fract_z
_atom_site_occupancy
Te1 0.000 0.250 0.125 1
H1 0.000 0.000 0.000 1
H2 0.000 0.250 0.375 1
Pd1 0.044 0.049 0.643 1
# Raw total energy = -736.41 eV/cell
# M_tot = 0.0000 μB per atom
# Crystal system = cubic

---

[6]
# PBE Te5H2Pd12, relaxed
data_Te5H2Pd12
_space_group_name_H-M_alt 'C 1 2/m 1'
_space_group_IT_number 12
_space_group_name_Hall '-C 2y'
_cell_length_a 12.447
_cell_length_b 7.120
_cell_length_c 7.636
_cell_angle_alpha 90.00
_cell_angle_beta 97.42
_cell_angle_gamma 90.00
loop_
_atom_site_label
_atom_site_fract_x
_atom_site_fract_y
_atom_site_fract_z
_atom_site_occupancy
Te1 0.000 0.000 0.000 1
Te2 0.140 0.500 0.927 1
Te3 0.243 0.000 0.575 1
H1 0.000 0.178 0.500 1
Pd1 0.055 0.000 0.347 1
Pd2 0.058 0.500 0.267 1
Pd3 0.117 0.296 0.617 1
Pd4 0.182 0.203 0.137 1
# Raw total energy = -176.93 eV/cell
# M_tot = 0.0000 μB per atom
# Crystal system = monoclinic

---

[7]
# PBE TeHPd6, relaxed
data_TeHPd6
_space_group_name_H-M_alt 'C 1 2/m 1'
_space_group_IT_number 12
_space_group_name_Hall '-C 2y'
_cell_length_a 6.440
_cell_length_b 7.120
_cell_length_c 5.651
_cell_angle_alpha 90.00
_cell_angle_beta 108.95
_cell_angle_gamma 90.00
loop_
_atom_site_label
_atom_site_fract_x
_atom_site_fract_y
_atom_site_fract_z
_atom_site_occupancy
Te1 0.000 0.000 0.000 1
H1 0.000 0.500 0.500 1
Pd1 0.084 0.296 0.779 1
Pd2 0.212 0.000 0.509 1
# Raw total energy = -76.72 eV/cell
# M_tot = 0.0000 μB per atom
# Crystal system = monoclinic

---

[8]
# PBE Te2HPd4, relaxed
data_Te2HPd4
_space_group_name_H-M_alt 'I 4/m m m'
_space_group_IT_number 139
_space_group_name_Hall '-I 4 2'
_cell_length_a 4.121
_cell_length_b 4.121
_cell_length_c 13.730
_cell_angle_alpha 90.00
_cell_angle_beta 90.00
_cell_angle_gamma 90.00
loop_
_atom_site_label
_atom_site_fract_x
_atom_site_fract_y
_atom_site_fract_z
_atom_site_occupancy
Te1 0.000 0.000 0.152 1
H1 0.000 0.000 0.500 1
Pd1 0.000 0.000 0.351 1
Pd2 0.000 0.500 0.000 1
# M_tot = 0.0000 μB per atom
# E above lowest polymorph = 0 meV per atom
# Crystal system = tetragonal

---

What are the V values for these records? In order: 60.9; 65.6; 67.5; 235.0; 2245.1; 671.1; 245.1; 233.2 Å³ per cell.